The following is a DFT calculation (PBE-GGA) of an optimized crystal structure of AcHfAs3.

a = 5.149 Å, b = 5.149 Å, c = 5.149 Å
α = 90.00°, β = 90.00°, γ = 90.00°
Space group Pm-3m (No. 221)
Inequivalent atoms, fractional coordinates:
1 Ac 0.000 0.000 0.000
2 Hf 0.500 0.500 0.500
3 As 0.000 0.500 0.500

Calculated values
Volume ... 27.3 A^3/atom
E ... -31.6 eV/cell
Energy of formation ... -0.71 eV per atom
Spin magnetization ... 0.00 μB per cell